Density functional theory data (PBE) for an optimized crystal structure of ZrTa2Rh.

ΔH_f (0 K) = -80 meV/atom
V = 18.51 A^3/atom
SG = No. 160

a = 3.061 Å, b = 3.061 Å, c = 27.374 Å
α = 90.00°, β = 90.00°, γ = 120.00°
Atoms (fractional coordinates):
Zr 0.000 0.000 0.000
Zr 0.333 0.667 0.667
Zr 0.667 0.333 0.333
Ta 0.000 0.000 0.244
Ta 0.000 0.000 0.492
Ta 0.333 0.667 0.159
Ta 0.333 0.667 0.910
Ta 0.667 0.333 0.577
Ta 0.667 0.333 0.826
Rh 0.000 0.000 0.751
Rh 0.333 0.667 0.418
Rh 0.667 0.333 0.084